Here is an optimized crystal structure of Er2VC2 from Alexandria. Energies are from PBE-GGA.

POSCAR file:
```
Er2VC2
1.0
5.460 -2.514 0.000
5.460 2.514 0.000
-3.000 0.000 5.942
Er V C
4 2 4
Direct
0.028 0.028 0.266
0.320 0.320 0.888
0.680 0.680 0.112
0.972 0.972 0.734
0.362 0.362 0.378
0.638 0.638 0.622
0.185 0.185 0.114
0.496 0.496 0.717
0.504 0.504 0.283
0.815 0.815 0.886
```

Values from the calculation:
For the final energy, the calculation gives -38.343 eV/f.u. The calculation puts the formation energy at -0.330 eV/atom.